# 1
Here is a relaxed structure of RbMgBi2 from the Alexandria database. Energies are from GGA-PBE.

The formation energy comes out at -0.14 eV per atom. The calculation puts the energy relative to the lowest polymorph listed for this composition at 45 meV/atom.

Unit cell a=6.0009 b=6.0009 c=19.3902 alpha=90.00 beta=90.00 gamma=90.00
Last column: nearest neighbours and their distance in Å.
Space group I-42d (No. 122)
One atom of each set of equivalent atoms:
Rb: 0.0000 0.0000 0.0000 x4  4 Bi 3.66
Mg: 0.0000 0.0000 0.5000 x4  4 Bi 2.94
Bi: 0.1175 0.2500 0.6250 x8  2 Mg 2.94



# 2
Here is a relaxed structure of Cd3Ag4Sn2 from the Alexandria database. Energies are from GGA-PBE.

The formation energy comes out at 0.06 eV per atom. The calculation puts the energy relative to the lowest polymorph listed for this composition at 13 meV/atom.

Unit cell a=9.1101 b=4.7612 c=9.1363 alpha=90.00 beta=95.87 gamma=90.00
Last column: nearest neighbours and their distance in Å.
Space group C2/m (No. 12)
One atom of each set of equivalent atoms:
Cd: 0.0000 0.0000 0.0000 x2  8 Ag 2.89-3.22, 2 Sn 3.08
Cd: 0.1209 0.5000 0.4055 x4  1 Cd 2.93, 4 Ag 2.94-3.26, 3 Sn 3.06-3.22
Ag: 0.0637 0.0000 0.6594 x4  4 Cd 2.94-3.22, 3 Sn 2.98-3.06, 1 Ag 3.02
Ag: 0.1755 0.5000 0.0585 x4  3 Cd 2.89-3.06, 3 Sn 2.98-3.00, 2 Ag 2.99
Sn: 0.2488 0.5000 0.7478 x4  6 Ag 2.98-3.06, 4 Cd 3.06-3.22



# 3
Here is a relaxed structure of NiTeCl2 from the Alexandria database. Energies are from GGA-PBE.

The uncorrected formation energy is 0.31 eV/atom. The calculation puts the energy relative to the lowest polymorph listed for this composition at 713 meV/atom.

Unit cell a=3.1988 b=4.4790 c=5.8517 alpha=90.00 beta=90.00 gamma=90.00
Last column: nearest neighbours and their distance in Å.
Space group Pmmm (No. 47)
One atom of each set of equivalent atoms:
Ni: 0.0000 0.0000 0.0000 x1  4 Cl 2.75
Te: 0.5000 0.0000 0.5000 x1  4 Cl 2.75
Cl: 0.0000 0.5000 0.5000 x1  4 Te 2.75
Cl: 0.5000 0.5000 0.0000 x1  4 Ni 2.75



# 4
Here is a relaxed structure of AcInSb from the Alexandria database. Energies are from GGA-PBE.

The uncorrected formation energy is -0.56 eV/atom. The calculation puts the energy relative to the lowest polymorph listed for this composition at 72 meV/atom.

Unit cell a=5.1544 b=5.1544 c=4.2859 alpha=90.00 beta=90.00 gamma=120.00
Last column: nearest neighbours and their distance in Å.
Space group P3m1 (No. 156)
One atom of each set of equivalent atoms:
Ac: 0.0000 0.0000 0.0000 x1  6 In 3.66-3.67, 6 Sb 3.67
In: 0.3333 0.6667 0.4985 x1  3 Sb 2.98
Sb: 0.6667 0.3333 0.5008 x1  3 In 2.98



# 5
Here is a relaxed structure of U6IrRu2 from the Alexandria database. Energies are from GGA-PBE.

The formation energy comes out at -0.20 eV per atom.

Unit cell a=4.7501 b=14.4807 c=5.3176 alpha=90.00 beta=108.60 gamma=90.00
Last column: nearest neighbours and their distance in Å.
Space group C2/m (No. 12)
One atom of each set of equivalent atoms:
U: 0.1502 0.1594 0.3333 x8  2 U 2.61-2.76, 2 Ru 2.81-2.83, 1 Ir 2.82
U: 0.1697 0.0000 0.8498 x4  3 U 2.61-2.76, 1 Ir 2.79
Ir: 0.0000 0.5000 0.5000 x2  6 U 2.79-2.82
Ru: 0.0000 0.3167 0.0000 x4  8 U 2.81-3.06, 2 Ru 3.06



# 6
Here is a relaxed structure of K2YRh from the Alexandria database. Energies are from GGA-PBE.

The formation energy comes out at 0.48 eV per atom. The calculation puts the energy relative to the lowest polymorph listed for this composition at 535 meV/atom.

Unit cell a=5.4208 b=5.4208 c=7.6898 alpha=90.00 beta=90.00 gamma=90.00
Last column: nearest neighbours and their distance in Å.
Space group I-4m2 (No. 119)
One atom of each set of equivalent atoms:
K: 0.0000 0.0000 0.0000 x2  4 K 3.32, 4 Rh 3.32
K: 0.0000 0.5000 0.2500 x2  4 K 3.32, 4 Y 3.32
Y: 0.0000 0.0000 0.5000 x2  4 K 3.32, 4 Rh 3.32
Rh: 0.0000 0.5000 0.7500 x2  4 Y 3.32, 4 K 3.32



Number 1: total moment 0.0 μB per cell, N(E_F) 4.61 states/eV per cell. Number 2: total moment 0.0 μB per cell, N(E_F) 3.41 states/eV per cell. Number 3: total moment 1.3 μB per cell, N(E_F) 4.14 states/eV per cell. Number 4: total moment 0.0 μB per cell, N(E_F) 1.58 states/eV per cell. Number 5: total moment 0.0 μB per cell, N(E_F) 47.25 states/eV per cell. Number 6: total moment 0.0 μB per cell, N(E_F) 2.36 states/eV per cell.